Entry from Alexandria: RbMo2H after structural relaxation (PBE).

a b c (Å): 5.9463 5.9463 5.9512
angles (deg): 60.03 60.03 90.00
Last column: nearest neighbours and their distance in Å.
Element x y z (fractional)
Rb 0.0000 0.0000 0.0000  12 Mo 3.49, 4 H 3.64, 4 Rb 3.64
Rb 0.7500 0.2500 0.5000  12 Mo 3.49, 4 H 3.64, 4 Rb 3.64
Mo 0.3750 0.6250 0.7500  2 H 1.82
Mo 0.3750 0.1250 0.2500  2 H 1.82
Mo 0.8750 0.6250 0.7500  2 H 1.82
Mo 0.3750 0.6250 0.2500  2 H 1.82
H 0.2500 0.7500 0.5000  4 Mo 1.82
H 0.5000 0.5000 0.0000  4 Mo 1.82

Output
- Magnetic moment: 0.00 μB per cell
- E: -20.99 eV/f.u.


Entry from Alexandria: Rb3SmAg2Br9 after structural relaxation (PBE).

a b c (Å): 7.9090 7.9090 9.8552
angles (deg): 90.00 90.00 120.00
Last column: nearest neighbours and their distance in Å.
Element x y z (fractional)
Br 0.1683 0.3365 0.3313  1 Sm 2.84, 1 Ag 2.86
Br 0.1683 0.8317 0.3313  1 Sm 2.84, 1 Ag 2.86
Br 0.5000 0.5000 0.0000  2 Ag 2.74
Br 0.6635 0.8317 0.3313  1 Sm 2.84, 1 Ag 2.86
Br 0.8317 0.6635 0.6687  1 Sm 2.84, 1 Ag 2.86
Br 0.8317 0.1683 0.6687  1 Sm 2.84, 1 Ag 2.86
Br 0.5000 0.0000 0.0000  2 Ag 2.74
Br 0.3365 0.1683 0.6687  1 Sm 2.84, 1 Ag 2.86
Br 0.0000 0.5000 0.0000  2 Ag 2.74
Ag 0.6667 0.3333 0.8471  6 Br 2.74-2.86
Ag 0.3333 0.6667 0.1529  6 Br 2.74-2.86
Sm 0.0000 0.0000 0.5000  6 Br 2.84
Rb 0.0000 0.0000 0.0000  12 Br 3.95-4.00
Rb 0.3333 0.6667 0.6994  9 Br 3.74-3.97
Rb 0.6667 0.3333 0.3006  9 Br 3.74-3.97

Output
- Formation energy (no corrections): -1.288 eV per atom
- Magnetic moment: 0.00 μB per cell
- E: -47.70 eV/f.u.


Entry from Alexandria: KSmHg2 after structural relaxation (PBE).

a b c (Å): 5.4925 5.4925 5.4925
angles (deg): 60.00 60.00 60.00
Last column: nearest neighbours and their distance in Å.
Element x y z (fractional)
Hg 0.7500 0.7500 0.7500  4 Sm 3.36, 4 K 3.36
Hg 0.2500 0.2500 0.2500  4 K 3.36, 4 Sm 3.36
K 0.0000 0.0000 0.0000  8 Hg 3.36
Sm 0.5000 0.5000 0.5000  8 Hg 3.36

Output
- E_form: -17 kJ per mole of atoms
- Magnetic moment: 0.00 μB per cell
- E: -7.11 eV/f.u.


Entry from Alexandria: Nd2Y5Ho2 after structural relaxation (PBE).

a b c (Å): 11.8390 6.7913 10.1333
angles (deg): 109.58 125.74 90.00
Last column: nearest neighbours and their distance in Å.
Element x y z (fractional)
Y 0.1915 0.1524 0.8952  4 Y 3.21-3.40, 1 Nd 3.27, 1 Ho 3.34
Y 0.9981 0.1492 0.5000  6 Y 3.24-3.62, 2 Nd 3.41-3.63, 2 Ho 3.60
Y 0.4077 0.5383 0.2854  4 Y 3.21-3.41, 1 Ho 3.38, 1 Nd 3.44
Y 0.0019 0.6492 0.5000  6 Y 3.24-3.62, 2 Nd 3.41-3.63, 2 Ho 3.60
Y 0.6223 0.7529 0.7146  4 Y 3.21-3.41, 1 Ho 3.38, 1 Nd 3.44
Y 0.8085 0.2572 0.1048  4 Y 3.21-3.40, 1 Nd 3.27, 1 Ho 3.34
Y 0.5923 0.2529 0.7146  4 Y 3.21-3.41, 1 Ho 3.38, 1 Nd 3.44
Y 0.3777 0.0383 0.2854  4 Y 3.21-3.41, 1 Ho 3.38, 1 Nd 3.44
Y 0.2037 0.6524 0.8952  4 Y 3.21-3.40, 1 Nd 3.27, 1 Ho 3.34
Y 0.7963 0.7572 0.1048  4 Y 3.21-3.40, 1 Nd 3.27, 1 Ho 3.34
Ho 0.8769 0.4312 0.7462  4 Y 3.34-3.65, 2 Nd 3.56-3.61, 1 Ho 3.69
Ho 0.6306 0.1850 0.2538  4 Y 3.34-3.65, 2 Nd 3.56-3.61, 1 Ho 3.69
Ho 0.1231 0.6850 0.2538  4 Y 3.34-3.65, 2 Nd 3.56-3.61, 1 Ho 3.69
Ho 0.3694 0.9312 0.7462  4 Y 3.34-3.65, 2 Nd 3.56-3.61, 1 Ho 3.69
Nd 0.0000 0.0103 0.0000  4 Y 3.27-3.59, 2 Ho 3.61
Nd 0.5000 0.5103 0.0000  4 Y 3.27-3.59, 2 Ho 3.61
Nd 0.7407 0.8596 0.5000  4 Y 3.41-3.63, 2 Ho 3.56, 2 Nd 3.81
Nd 0.2593 0.3596 0.5000  4 Y 3.41-3.63, 2 Ho 3.56, 2 Nd 3.81

Output
- E_form: 22 kJ per mole of atoms
- Magnetic moment: 0.00 μB per cell
- E: -48.97 eV/f.u.


Entry from Alexandria: Th3ZnGe2 after structural relaxation (PBE).

a b c (Å): 4.2203 11.8130 12.1742
angles (deg): 90.00 90.00 90.00
Last column: nearest neighbours and their distance in Å.
Element x y z (fractional)
Zn 0.2500 0.3721 0.6301  3 Ge 2.58-2.61
Zn 0.2500 0.1279 0.1301  3 Ge 2.58-2.61
Zn 0.7500 0.6279 0.3699  3 Ge 2.58-2.61
Zn 0.7500 0.8721 0.8699  3 Ge 2.58-2.61
Th 0.2500 0.1193 0.5532  5 Ge 3.08-3.29, 1 Zn 3.13
Th 0.7500 0.2873 0.7916  4 Ge 3.05-3.27, 2 Zn 3.05
Th 0.7500 0.2127 0.2916  4 Ge 3.05-3.27, 2 Zn 3.05
Th 0.7500 0.9356 0.1186  3 Zn 3.10-3.12, 5 Ge 3.12-3.23
Th 0.2500 0.4356 0.3814  3 Zn 3.10-3.12, 5 Ge 3.12-3.23
Th 0.2500 0.3807 0.0532  5 Ge 3.08-3.29, 1 Zn 3.13
Th 0.2500 0.7127 0.2084  4 Ge 3.05-3.27, 2 Zn 3.05
Th 0.7500 0.8807 0.4468  5 Ge 3.08-3.29, 1 Zn 3.13
Th 0.7500 0.5644 0.6186  3 Zn 3.10-3.12, 5 Ge 3.12-3.23
Th 0.7500 0.6193 0.9468  5 Ge 3.08-3.29, 1 Zn 3.13
Th 0.2500 0.7873 0.7084  4 Ge 3.05-3.27, 2 Zn 3.05
Th 0.2500 0.0644 0.8814  3 Zn 3.10-3.12, 5 Ge 3.12-3.23
Ge 0.2500 0.6909 0.4757  2 Zn 2.58
Ge 0.7500 0.9963 0.6929  1 Zn 2.61
Ge 0.7500 0.5037 0.1929  1 Zn 2.61
Ge 0.7500 0.3091 0.5243  2 Zn 2.58
Ge 0.2500 0.0037 0.3071  1 Zn 2.61
Ge 0.2500 0.4963 0.8071  1 Zn 2.61
Ge 0.7500 0.1909 0.0243  2 Zn 2.58
Ge 0.2500 0.8091 0.9757  2 Zn 2.58

Output
- E_form: -53 kJ per mole of atoms
- Magnetic moment: 0.00 μB per cell
- E: -36.07 eV/f.u.


Entry from Alexandria: Sr2Ge2Sb after structural relaxation (PBE).

a b c (Å): 7.8158 7.8158 4.6637
angles (deg): 90.00 90.00 90.00
Last column: nearest neighbours and their distance in Å.
Element x y z (fractional)
Sr 0.1800 0.6800 0.5000  6 Ge 3.24-3.32
Sr 0.3200 0.1800 0.5000  6 Ge 3.24-3.32
Sr 0.8200 0.3200 0.5000  6 Ge 3.24-3.32
Sr 0.6800 0.8200 0.5000  6 Ge 3.24-3.32
Ge 0.8842 0.6158 0.0000  1 Ge 2.56
Ge 0.3842 0.8842 0.0000  1 Ge 2.56
Ge 0.1158 0.3842 0.0000  1 Ge 2.56
Ge 0.6158 0.1158 0.0000  1 Ge 2.56
Sb 0.5000 0.5000 0.0000  4 Ge 3.14
Sb 0.0000 0.0000 0.0000  4 Ge 3.14

Output
- Formation energy (no corrections): -0.603 eV per atom
- Magnetic moment: 0.00 μB per cell
- E: -19.74 eV/f.u.


Entry from Alexandria: MgSc2P after structural relaxation (PBE).

a b c (Å): 3.3150 3.3150 7.9567
angles (deg): 90.00 90.00 101.77
Last column: nearest neighbours and their distance in Å.
Element x y z (fractional)
Mg 0.0000 0.0000 0.5525  2 P 2.67
Sc 0.5000 0.5000 0.2471  4 Mg 3.21-3.54, 8 Sc 3.21-3.55
Sc 0.0000 0.0000 0.9404  2 P 2.54
P 0.5000 0.5000 0.7601  2 Sc 2.54, 2 Mg 2.67

Output
- E_form: -37 kJ per mole of atoms
- Magnetic moment: 0.00 μB per cell
- E: -21.20 eV/f.u.


Entry from Alexandria: Mn3TlTc after structural relaxation (PBE).

a b c (Å): 4.7418 4.7418 4.7418
angles (deg): 90.00 90.00 90.00
Last column: nearest neighbours and their distance in Å.
Element x y z (fractional)
Mn 0.0000 0.5000 0.0000  2 Tc 2.37
Mn 0.0000 0.0000 0.5000  2 Tc 2.37
Mn 0.5000 0.0000 0.0000  2 Tc 2.37
Tc 0.0000 0.0000 0.0000  6 Mn 2.37
Tl 0.5000 0.5000 0.5000  12 Mn 3.35

Output
- E_form: 105 kJ per mole of atoms
- Magnetic moment: 10.55 μB per cell
- E: -34.78 eV/f.u.


- Which value of magnetic moment does entry 3 give?
  0.00 μB per cell